Below is a relaxed CsHgBr crystal, with properties calculated at the PBE level.

Geometry as POSCAR:
```
CsHgBr
1.0
0.0000 4.2462 4.2462
4.2462 0.0000 4.2462
4.2462 4.2462 0.0000
Cs Hg Br
1 1 1
Direct
0.0000 0.0000 0.0000
0.5000 0.5000 0.5000
0.7500 0.7500 0.7500
```

Calculated values
DOS(E_F) = 0.000 states/eV per atom
Space-group type = F-43m (216)
Excess energy over the best structure of this formula in the dataset = 0.0620 eV per atom
VASP energy = -2.0121 eV/atom
E_form (uncorrected) = -1.0693 eV/atom



Below is a relaxed CsHgBr2 crystal, with properties calculated at the PBE level.

Geometry as POSCAR:
```
CsHgBr2
1.0
2.5657 1.4813 9.2372
-2.5657 1.4813 9.2372
0.0000 -2.9626 9.2372
Cs Hg Br
1 1 2
Direct
0.0000 0.0000 0.0000
0.5000 0.5000 0.5000
0.1189 0.1189 0.1189
0.8811 0.8811 0.8811
```

Calculated values
DOS(E_F) = 0.752 states/eV per atom
Space-group type = R-3m (166)
Excess energy over the best structure of this formula in the dataset = 0.4841 eV per atom
VASP energy = -1.7232 eV/atom
E_form (uncorrected) = -0.5979 eV/atom



Below is a relaxed Cs2Hg3Br8 crystal, with properties calculated at the PBE level.

Geometry as POSCAR:
```
Cs2Hg3Br8
1.0
8.2550 -5.5835 0.0000
8.2550 5.5835 0.0000
-2.5714 0.0000 6.4262
Cs Hg Br
2 3 8
Direct
0.2268 0.2268 0.0673
0.7732 0.7732 0.9327
0.1809 0.8191 0.5000
0.5000 0.5000 0.0000
0.8191 0.1809 0.5000
0.1078 0.1078 0.4401
0.1768 0.6311 0.1473
0.3579 0.3579 0.7002
0.3689 0.8232 0.8527
0.6311 0.1768 0.1473
0.6421 0.6421 0.2998
0.8232 0.3689 0.8527
0.8922 0.8922 0.5599
```

Calculated values
DOS(E_F) = 0.000 states/eV per atom
Space-group type = C2/m (12)
VASP energy = -2.1183 eV/atom
E_form (uncorrected) = -0.8878 eV/atom



Below is a relaxed CsHg2Br crystal, with properties calculated at the PBE level.

Geometry as POSCAR:
```
CsHg2Br
1.0
7.1611 0.0000 0.0000
0.0000 5.5970 0.0000
-0.7214 0.0000 8.6073
Cs Hg Br
2 4 2
Direct
0.2401 0.0000 0.3675
0.7599 0.5000 0.6325
0.1228 0.9986 0.8973
0.3716 0.4985 0.0290
0.6284 0.9985 0.9710
0.8772 0.4986 0.1027
0.2587 0.5000 0.6223
0.7413 0.0000 0.3777
```

Calculated values
DOS(E_F) = 0.000 states/eV per atom
Space-group type = P2_1 (4)
Excess energy over the best structure of this formula in the dataset = 0.0000 eV per atom
VASP energy = -1.5990 eV/atom
E_form (uncorrected) = -0.8165 eV/atom



Below is a relaxed Cs4Hg3Br10 crystal, with properties calculated at the PBE level.

Geometry as POSCAR:
```
Cs4Hg3Br10
1.0
-2.8525 2.8525 20.1532
2.8525 -2.8525 20.1532
2.8525 2.8525 -20.1532
Cs Hg Br
4 3 10
Direct
0.0678 0.0678 0.0000
0.1979 0.1979 0.0000
0.8021 0.8021 0.0000
0.9322 0.9322 0.0000
0.3579 0.3579 0.0000
0.5000 0.5000 0.0000
0.6421 0.6421 0.0000
0.0000 0.5000 0.5000
0.1371 0.6371 0.5000
0.2894 0.2894 0.0000
0.3629 0.8629 0.5000
0.4297 0.4297 0.0000
0.5000 0.0000 0.5000
0.5703 0.5703 0.0000
0.6371 0.1371 0.5000
0.7106 0.7106 0.0000
0.8629 0.3629 0.5000
```

Calculated values
DOS(E_F) = 0.128 states/eV per atom
Space-group type = I4/mmm (139)
VASP energy = -2.3204 eV/atom
E_form (uncorrected) = -1.0823 eV/atom



Below is a relaxed CsHg2Br5 crystal, with properties calculated at the PBE level.

Geometry as POSCAR:
```
CsHg2Br5
1.0
3.2627 -9.5211 0.0000
3.2627 9.5211 0.0000
0.0000 0.0000 12.4076
Cs Hg Br
2 4 10
Direct
0.0963 0.9037 0.7500
0.9037 0.0963 0.2500
0.2050 0.7950 0.0808
0.2050 0.7950 0.4192
0.7950 0.2050 0.5808
0.7950 0.2050 0.9192
0.0723 0.9277 0.0810
0.0723 0.9277 0.4190
0.2863 0.7137 0.5888
0.2863 0.7137 0.9112
0.2984 0.7016 0.2500
0.7016 0.2984 0.7500
0.7137 0.2863 0.0888
0.7137 0.2863 0.4112
0.9277 0.0723 0.5810
0.9277 0.0723 0.9190
```

Calculated values
DOS(E_F) = 0.000 states/eV per atom
Space-group type = Cmcm (63)
Excess energy over the best structure of this formula in the dataset = 0.0458 eV per atom
VASP energy = -1.9926 eV/atom
E_form (uncorrected) = -0.7649 eV/atom